1.
{
  "formula": "CsLiCa2Pd",
  "functional": "PBE-GGA",
  "state": "optimized geometry",
  "lattice_angstrom": [[5.671, 0.000, 0.000], [0.000, 5.671, 0.000], [0.000, 0.000, 5.888]],
  "species": ["Cs", "Li", "Ca", "Ca", "Pd"],
  "frac_coords": [[0.000, 0.000, 0.000], [0.500, 0.500, 0.000], [0.000, 0.500, 0.500], [0.500, 0.000, 0.500], [0.500, 0.500, 0.500]],
  "dos_ef_per_ev_cell": 3.36,
  "formation_energy_ev_per_atom": -0.0991
}

=====

2.
{
  "formula": "CsLi2CaPt",
  "functional": "PBE-GGA",
  "state": "optimized geometry",
  "lattice_angstrom": [[5.433, 0.000, 0.000], [0.000, 5.433, 0.000], [0.000, 0.000, 5.471]],
  "species": ["Cs", "Li", "Li", "Ca", "Pt"],
  "frac_coords": [[0.000, 0.000, 0.000], [0.000, 0.500, 0.500], [0.500, 0.000, 0.500], [0.500, 0.500, 0.000], [0.500, 0.500, 0.500]],
  "dos_ef_per_ev_cell": 2.87,
  "formation_energy_ev_per_atom": -0.1259
}

=====

3.
{
  "formula": "CsLiCaRh2",
  "functional": "PBE-GGA",
  "state": "optimized geometry",
  "lattice_angstrom": [[5.185, 0.000, 0.000], [0.000, 5.185, 0.000], [0.000, 0.000, 4.803]],
  "species": ["Cs", "Li", "Ca", "Rh", "Rh"],
  "frac_coords": [[0.000, 0.000, 0.000], [0.000, 0.000, 0.500], [0.500, 0.500, 0.500], [0.000, 0.500, 0.000], [0.500, 0.000, 0.000]],
  "dos_ef_per_ev_cell": 2.54,
  "formation_energy_ev_per_atom": 0.9928
}

=====

4.
{
  "formula": "CsLiCa2Rh",
  "functional": "PBE-GGA",
  "state": "optimized geometry",
  "lattice_angstrom": [[5.585, 0.000, 0.000], [0.000, 5.585, 0.000], [0.000, 0.000, 5.690]],
  "species": ["Cs", "Li", "Ca", "Ca", "Rh"],
  "frac_coords": [[0.000, 0.000, 0.000], [0.500, 0.500, 0.000], [0.000, 0.500, 0.500], [0.500, 0.000, 0.500], [0.500, 0.500, 0.500]],
  "dos_ef_per_ev_cell": 2.77,
  "formation_energy_ev_per_atom": 0.0256
}

=====

5.
{
  "formula": "CsLiCaS2",
  "functional": "PBE-GGA",
  "state": "optimized geometry",
  "lattice_angstrom": [[3.533, -7.448, 0.000], [3.533, 7.448, 0.000], [0.000, 0.000, 6.211]],
  "species": ["Cs", "Cs", "Li", "Li", "Ca", "Ca", "S", "S", "S", "S"],
  "frac_coords": [[0.250, 0.750, 0.768], [0.750, 0.250, 0.232], [0.000, 0.000, 0.000], [0.500, 0.500, 0.000], [0.250, 0.250, 0.500], [0.750, 0.750, 0.500], [0.101, 0.899, 0.273], [0.399, 0.601, 0.273], [0.601, 0.399, 0.727], [0.899, 0.101, 0.727]],
  "dos_ef_per_ev_cell": 0.00,
  "e_tot_ev_per_atom": -4.0048
}

=====

6.
{
  "formula": "CsLiCaSe2",
  "functional": "PBE-GGA",
  "state": "optimized geometry",
  "lattice_angstrom": [[3.604, -7.723, 0.000], [3.604, 7.723, 0.000], [0.000, 0.000, 6.466]],
  "species": ["Cs", "Cs", "Li", "Li", "Ca", "Ca", "Se", "Se", "Se", "Se"],
  "frac_coords": [[0.250, 0.750, 0.766], [0.750, 0.250, 0.234], [0.000, 0.000, 0.000], [0.500, 0.500, 0.000], [0.250, 0.250, 0.500], [0.750, 0.750, 0.500], [0.106, 0.894, 0.271], [0.394, 0.606, 0.271], [0.606, 0.394, 0.729], [0.894, 0.106, 0.729]],
  "dos_ef_per_ev_cell": 0.00,
  "e_tot_ev_per_atom": -3.7143
}